Entry 1:
Entry from Alexandria via LeMat-Bulk: KAs2Os after structural relaxation (PBE).

space group: P4/mmm, No. 123
ΔE to the lowest computed polymorph: 99 meV/atom
crystal system: tetragonal

Cell: 3.104 3.104 8.211 Å, 90.00 90.00 90.00°
Fractional coordinates of all 4 atoms:
Os 0.500 0.500 0.750
K 0.500 0.500 0.250
As 0.000 0.000 0.564
As 0.000 0.000 0.936

---

Entry 2:
Entry from Alexandria via LeMat-Bulk: K2As2Os after structural relaxation (PBE).

space group: P4/mbm, No. 127
crystal system: tetragonal

Cell: 6.440 6.440 5.623 Å, 90.00 90.00 90.00°
Fractional coordinates of all 10 atoms:
Os 0.000 0.000 0.000
Os 0.500 0.500 0.000
K 0.822 0.322 0.500
K 0.322 0.178 0.500
K 0.178 0.678 0.500
K 0.678 0.822 0.500
As 0.856 0.644 0.000
As 0.644 0.144 0.000
As 0.356 0.856 0.000
As 0.144 0.356 0.000

---

Entry 3:
Entry from Alexandria via LeMat-Bulk: KAsOs4 after structural relaxation (PBE).

space group: F-43m, No. 216
crystal system: cubic

Cell: 5.319 5.319 5.319 Å, 60.00 60.00 60.00°
Fractional coordinates of all 6 atoms:
Os 0.873 0.376 0.376
Os 0.376 0.376 0.873
Os 0.376 0.873 0.376
Os 0.376 0.376 0.376
As 0.750 0.750 0.750
K 0.000 0.000 0.000

---

Entry 4:
Entry from Alexandria via LeMat-Bulk: KAs2Os after structural relaxation (PBE).

space group: Pm, No. 6
ΔE to the lowest computed polymorph: 510 meV/atom
crystal system: monoclinic

Cell: 4.883 2.632 6.865 Å, 90.07 90.00 90.00°
Fractional coordinates of all 4 atoms:
Os 0.500 0.999 0.839
As 0.500 0.001 0.201
As 0.000 0.000 0.969
K 0.000 0.500 0.490

---

Entry 5:
Entry from Alexandria via LeMat-Bulk: KAs2Os after structural relaxation (PBE).

space group: Cm, No. 8
ΔE to the lowest computed polymorph: 188 meV/atom
crystal system: monoclinic

Cell: 6.621 6.621 5.723 Å, 64.23 64.23 26.33°
Fractional coordinates of all 4 atoms:
As 0.114 0.114 0.764
As 0.260 0.260 0.225
K 0.437 0.437 0.520
Os 0.689 0.689 0.991

---

Entry 6:
Entry from Alexandria via LeMat-Bulk: KAs4Os after structural relaxation (PBE).

space group: F-43m, No. 216
crystal system: cubic

Cell: 5.614 5.614 5.614 Å, 60.00 60.00 60.00°
Fractional coordinates of all 6 atoms:
As 0.373 0.373 0.881
As 0.373 0.373 0.373
As 0.373 0.881 0.373
As 0.881 0.373 0.373
Os 0.000 0.000 0.000
K 0.750 0.750 0.750

---

Entry 7:
Entry from Alexandria via LeMat-Bulk: KAs2Os after structural relaxation (PBE).

space group: C2/m, No. 12
ΔE to the lowest computed polymorph: 906 meV/atom
crystal system: monoclinic

Cell: 5.595 5.595 2.696 Å, 89.62 89.62 112.67°
Fractional coordinates of all 4 atoms:
K 0.500 0.000 0.500
Os 0.000 0.500 0.500
As 0.500 0.500 0.000
As 0.000 0.000 0.000

---

Entry 8:
Entry from Alexandria via LeMat-Bulk: KAs2Os after structural relaxation (PBE).

space group: P4mm, No. 99
ΔE to the lowest computed polymorph: 462 meV/atom
crystal system: tetragonal

Cell: 3.370 3.370 7.750 Å, 90.00 90.00 90.00°
Fractional coordinates of all 4 atoms:
As 0.500 0.500 0.183
As 0.000 0.000 0.963
Os 0.500 0.500 0.855
K 0.000 0.000 0.499

---

no.,ρ (g/cm³),formation energy from the elements (eV per atom)
1,7.958,0.049
2,5.956,-0.118
3,13.651,1.157
4,7.135,0.460
5,6.324,0.138
6,7.020,0.860
7,8.084,0.857
8,7.154,0.412